(1)
First-principles (GGA-PBE) data for a geometry-optimized ReTcIr2 structure, as listed in Alexandria.

As for the offset from the most stable computed form: 644 meV per atom. The calculation puts the volume at 14.94 Å³/atom. For the formation energy, the calculation gives 358 meV per atom. The total energy comes out at -9.78 eV per atom. As for the crystal system: cubic.

The structure belongs to space group F-43m (No. 216); the cell edges are 6.2064, 6.2064 and 6.2064 Å and the angles 90.00°, 90.00° and 90.00°. The inequivalent atoms are Re at (0.0000, 0.0000, 0.0000), Tc at (0.2500, 0.2500, 0.2500), Ir at (0.0000, 0.0000, 0.5000) and Ir at (0.2500, 0.2500, 0.7500).

(2)
First-principles (GGA-PBE) data for a geometry-optimized ReTcIr2 structure, as listed in Alexandria.

As for the offset from the most stable computed form: 126 meV per atom. The calculation puts the volume at 14.55 Å³/atom. For the formation energy, the calculation gives -160 meV per atom. The total energy comes out at -10.29 eV per atom. As for the crystal system: orthorhombic.

The structure belongs to space group Cmmm (No. 65); the cell edges are 5.4560, 7.8320 and 2.7249 Å and the angles 90.00°, 90.00° and 90.00°. The inequivalent atoms are Re at (0.0000, 0.0000, 0.0000), Tc at (0.0000, 0.5000, 0.0000) and Ir at (0.2500, 0.2500, 0.5000).

(3)
First-principles (GGA-PBE) data for a geometry-optimized ReTcIr2 structure, as listed in Alexandria.

As for the offset from the most stable computed form: 124 meV per atom. The calculation puts the volume at 14.55 Å³/atom. For the formation energy, the calculation gives -161 meV per atom. The total energy comes out at -10.30 eV per atom. As for the crystal system: tetragonal.

The structure belongs to space group I4/mmm (No. 139); the cell edges are 3.8581, 3.8581 and 7.8202 Å and the angles 90.00°, 90.00° and 90.00°. The inequivalent atoms are Re at (0.0000, 0.0000, 0.0000), Tc at (0.0000, 0.0000, 0.5000) and Ir at (0.0000, 0.5000, 0.2500).